First-principles (PBE) data for crystalline Nd4Sm4Tm3 at its relaxed geometry, as listed in Alexandria.

a b c (Å): 3.575 5.666 18.440
angles (deg): 98.84 95.71 90.00
Atoms (fractional coordinates):
Nd: 0.725 0.722 0.443
Nd: 0.598 0.095 0.191
Nd: 0.275 0.279 0.557
Nd: 0.402 0.905 0.809
Sm: 0.185 0.182 0.363
Sm: 0.815 0.818 0.637
Sm: 0.455 0.457 0.913
Sm: 0.545 0.543 0.087
Tm: 0.134 0.630 0.259
Tm: 0.000 0.000 0.000
Tm: 0.866 0.370 0.741

Calculated values
V = 367.2 Å³ per cell
Energy relative to the elements = 0.041 eV/atom
Relative energy among the computed polymorphs = 0.000 eV per atom